--- a ---
An optimized crystal structure of Mg2TiCr, computed with GGA-PBE.

Size of the total moment   0.000 μB/cell

a b c (Å): 7.487 7.487 5.885
angles (deg): 50.50 50.50 90.00
Fractional positions:
Mg 0.648 0.125 0.250
Ti 0.500 0.500 0.000
Cr 0.750 0.250 0.500
Mg 0.875 0.898 0.750
Cr 0.000 0.000 0.000
Mg 0.102 0.625 0.250
Ti 0.250 0.750 0.500
Mg 0.375 0.352 0.750



--- b ---
An optimized crystal structure of Mg2TiCr, computed with GGA-PBE.

Size of the total moment   2.970 μB/cell

a b c (Å): 4.707 4.707 4.707
angles (deg): 60.00 60.00 60.00
Site moments in Bohr magnetons follow the coordinates.
Fractional positions:
Cr 0.500 0.500 0.500  3.44
Ti 0.000 0.000 0.000  -0.77
Mg 0.250 0.250 0.250  -0.01
Mg 0.750 0.750 0.750  -0.01



Which one is most stable, and which one is least stable? b is the most stable of them, while a is the least stable.